! KSr3O PBE-GGA relaxed; values from VASP
! - V: 180.14 Å³/f.u.
! - DOS(E_F): 4.812 states/eV/cell
! - Total magnetization: 0.00 μB per atom
! - VASP energy: -2.989 eV per atom
! - Energy above the lowest structure with this stoichiometry: 0.0 meV per atom
&SYSTEM
  ibrav = 0, nat = 5, ntyp = 3
/
ATOMIC_SPECIES
Sr 87.62 Sr.upf
K 39.10 K.upf
O 16.00 O.upf
ATOMIC_POSITIONS angstrom
Sr 2.193 -1.316 1.198
Sr -1.341 0.027 2.485
Sr -1.169 -2.498 -0.604
K -0.317 -3.787 3.079
O 0.000 0.000 0.000
CELL_PARAMETERS angstrom
-2.338 -4.997 -1.208
4.386 -2.631 2.395
-2.682 0.054 4.970